[1]
This record from Alexandria describes crystalline Al3PdO at its relaxed geometry. The functional is GGA-PBEsol.

Values from the calculation:
The value obtained for the formation energy without anion corrections is -0.690 eV/atom. As for the total magnetization: 0.00 μB/f.u. The total energy is -26.93 eV/f.u.

a = 3.9946 Å, b = 3.9946 Å, c = 3.9946 Å
α = 90.00°, β = 90.00°, γ = 90.00°
Positions (direct):
Al (0.0000, 0.0000, 0.5000)
Al (0.0000, 0.5000, 0.0000)
Al (0.5000, 0.0000, 0.0000)
Pd (0.5000, 0.5000, 0.5000)
O (0.0000, 0.0000, 0.0000)

[2]
This record from Alexandria describes crystalline Ba2IrBr at its relaxed geometry. The functional is GGA-PBEsol.

Values from the calculation:
The value obtained for the formation energy without anion corrections is -0.783 eV/atom. As for the total magnetization: 0.00 μB/f.u. The value obtained for the distance to the lowest polymorph of the same formula is 0.000 eV per atom. The total energy is -19.12 eV/f.u.

a = 3.7729 Å, b = 3.7729 Å, c = 8.2279 Å
α = 90.00°, β = 90.00°, γ = 90.00°
Positions (direct):
Ba (0.0000, 0.0000, 0.2165)
Ba (0.0000, 0.0000, 0.7835)
Ir (0.5000, 0.5000, 0.0000)
Br (0.5000, 0.5000, 0.5000)

[3]
This record from Alexandria describes crystalline Tc2AuI at its relaxed geometry. The functional is GGA-PBEsol.

Values from the calculation:
The value obtained for the formation energy without anion corrections is 0.814 eV/atom. As for the total magnetization: 0.00 μB/f.u. The total energy is -24.97 eV/f.u.

a = 6.3896 Å, b = 6.3896 Å, c = 6.3896 Å
α = 90.00°, β = 90.00°, γ = 90.00°
Positions (direct):
Tc (0.2500, 0.2500, 0.2500)
Tc (0.2500, 0.2500, 0.7500)
Tc (0.2500, 0.7500, 0.2500)
Tc (0.2500, 0.7500, 0.7500)
Tc (0.7500, 0.2500, 0.2500)
Tc (0.7500, 0.2500, 0.7500)
Tc (0.7500, 0.7500, 0.2500)
Tc (0.7500, 0.7500, 0.7500)
Au (0.0000, 0.0000, 0.0000)
Au (0.0000, 0.5000, 0.5000)
Au (0.5000, 0.0000, 0.5000)
Au (0.5000, 0.5000, 0.0000)
I (0.0000, 0.0000, 0.5000)
I (0.0000, 0.5000, 0.0000)
I (0.5000, 0.0000, 0.0000)
I (0.5000, 0.5000, 0.5000)

[4]
This record from Alexandria describes crystalline P2IrAu at its relaxed geometry. The functional is GGA-PBEsol.

Values from the calculation:
Its energy of formation is 0.06 eV per atom. As for the total magnetization: 0.00 μB/f.u. The value obtained for the distance to the lowest polymorph of the same formula is 0.032 eV per atom. The total energy is -25.08 eV/f.u.

a = 3.2221 Å, b = 3.2221 Å, c = 20.3939 Å
α = 90.00°, β = 90.00°, γ = 120.00°
Positions (direct):
P (0.0000, 0.0000, 0.0000)
P (0.0000, 0.0000, 0.2505)
P (0.3333, 0.6667, 0.6667)
P (0.3333, 0.6667, 0.9172)
P (0.6667, 0.3333, 0.3333)
P (0.6667, 0.3333, 0.5838)
Ir (0.0000, 0.0000, 0.5176)
Ir (0.3333, 0.6667, 0.1842)
Ir (0.6667, 0.3333, 0.8509)
Au (0.0000, 0.0000, 0.7448)
Au (0.3333, 0.6667, 0.4114)
Au (0.6667, 0.3333, 0.0781)